Entry from the Alexandria database: crystalline ZnAsP2 at its relaxed geometry (PBEsol).

abc: 4.3265 4.3265 6.6453
angles: 115.09 115.09 45.07
Last column: nearest neighbours and their distance in Å.
Element x y z (fractional)
Zn1 0.0000 0.0000 0.0000  1 P 2.36, 3 As 2.44-2.48
As1 0.3388 0.3388 0.1277  1 P 2.32, 3 Zn 2.44-2.48
P1 0.4899 0.4899 0.5209  2 P 2.23, 1 As 2.32
P2 0.8430 0.8430 0.5997  2 P 2.23, 1 Zn 2.36

energy above the most stable polymorph in this dataset = 0 meV/atom
DFT formation energy = 0.051 eV/atom


Entry from the Alexandria database: crystalline Sr5Ta4O15 at its relaxed geometry (PBEsol).

abc: 5.6463 5.6463 22.9724
angles: 90.00 90.00 120.00
Last column: nearest neighbours and their distance in Å.
Element x y z (fractional)
Sr1 0.0000 0.0000 0.2500  9 O 2.58-2.74
Sr2 0.0000 0.0000 0.7500  9 O 2.58-2.74
Sr3 0.3333 0.6667 0.1391  6 O 2.54-2.59
Sr4 0.3333 0.6667 0.4721  6 O 2.52-2.55
Sr5 0.3333 0.6667 0.6391  6 O 2.54-2.59
Sr6 0.3333 0.6667 0.9721  6 O 2.52-2.55
Sr7 0.6667 0.3333 0.0279  6 O 2.52-2.55
Sr8 0.6667 0.3333 0.3609  6 O 2.54-2.59
Sr9 0.6667 0.3333 0.5279  6 O 2.52-2.55
Sr10 0.6667 0.3333 0.8609  6 O 2.54-2.59
Ta1 0.0000 0.0000 0.0922  3 O 1.87
Ta2 0.0000 0.0000 0.4078  3 O 1.87
Ta3 0.0000 0.0000 0.5922  3 O 1.87
Ta4 0.0000 0.0000 0.9078  3 O 1.87
Ta5 0.3333 0.6667 0.3021  6 O 1.95-2.04
Ta6 0.3333 0.6667 0.8021  6 O 1.95-2.04
Ta7 0.6667 0.3333 0.1979  6 O 1.95-2.04
Ta8 0.6667 0.3333 0.6979  6 O 1.95-2.04
O1 0.0000 0.4573 0.2500  2 Ta 2.04
O2 0.0000 0.5427 0.7500  2 Ta 2.04
O3 0.0993 0.3336 0.0558  1 Ta 1.87
O4 0.0993 0.7657 0.5558  1 Ta 1.87
O5 0.1182 0.3289 0.8456  2 Ta 1.95-2.17
O6 0.1182 0.7893 0.3456  2 Ta 1.95-2.17
O7 0.2107 0.3289 0.3456  2 Ta 1.95-2.17
O8 0.2107 0.8818 0.8456  2 Ta 1.95-2.17
O9 0.2343 0.3336 0.5558  1 Ta 1.87
O10 0.2343 0.9007 0.0558  1 Ta 1.87
O11 0.3289 0.1182 0.6544  2 Ta 1.95-2.17
O12 0.3289 0.2107 0.1544  2 Ta 1.95-2.17
O13 0.3336 0.0993 0.4442  1 Ta 1.87
O14 0.3336 0.2343 0.9442  1 Ta 1.87
O15 0.4573 0.0000 0.2500  2 Ta 2.04
O16 0.4573 0.4573 0.7500  2 Ta 2.04
O17 0.5427 0.0000 0.7500  2 Ta 2.04
O18 0.5427 0.5427 0.2500  2 Ta 2.04
O19 0.6664 0.7657 0.0558  1 Ta 1.87
O20 0.6664 0.9007 0.5558  1 Ta 1.87
O21 0.6711 0.7893 0.8456  2 Ta 1.95-2.17
O22 0.6711 0.8818 0.3456  2 Ta 1.95-2.17
O23 0.7657 0.0993 0.9442  1 Ta 1.87
O24 0.7657 0.6664 0.4442  1 Ta 1.87
O25 0.7893 0.1182 0.1544  2 Ta 1.95-2.17
O26 0.7893 0.6711 0.6544  2 Ta 1.95-2.17
O27 0.8818 0.2107 0.6544  2 Ta 1.95-2.17
O28 0.8818 0.6711 0.1544  2 Ta 1.95-2.17
O29 0.9007 0.2343 0.4442  1 Ta 1.87
O30 0.9007 0.6664 0.9442  1 Ta 1.87

energy above the most stable polymorph in this dataset = 0 meV/atom


Entry from the Alexandria database: crystalline NbAl3Sb at its relaxed geometry (PBEsol).

abc: 4.9621 4.9621 4.9621
angles: 90.00 90.00 90.00
Last column: nearest neighbours and their distance in Å.
Element x y z (fractional)
Nb1 0.0000 0.0000 0.0000  6 Al 2.48
Al1 0.0000 0.0000 0.5000  2 Nb 2.48
Al2 0.0000 0.5000 0.0000  2 Nb 2.48
Al3 0.5000 0.0000 0.0000  2 Nb 2.48
Sb1 0.5000 0.5000 0.5000  12 Al 3.51

final energy = -4.663 eV per atom


Entry from the Alexandria database: crystalline Cs6Si2NiO8 at its relaxed geometry (PBEsol).

abc: 6.7952 7.0667 7.9409
angles: 86.41 87.44 69.50
Last column: nearest neighbours and their distance in Å.
Element x y z (fractional)
Cs1 0.1554 0.3315 0.1677  5 O 2.85-3.10
Cs2 0.2259 0.7081 0.4664  5 O 3.02-3.32, 1 Ni 3.26
Cs3 0.2982 0.7977 0.9823  6 O 2.97-3.17
Cs4 0.7018 0.2023 0.0177  6 O 2.97-3.17
Cs5 0.7741 0.2919 0.5336  5 O 3.02-3.32, 1 Ni 3.26
Cs6 0.8446 0.6685 0.8323  5 O 2.85-3.10
Si1 0.2842 0.2409 0.7232  4 O 1.64-1.68
Si2 0.7158 0.7591 0.2768  4 O 1.64-1.68
Ni1 0.5000 0.0000 0.5000  4 O 1.90
O1 0.0799 0.2061 0.8176  1 Si 1.64
O2 0.2720 0.2483 0.5118  1 Si 1.68
O3 0.3236 0.4384 0.7909  1 Si 1.64
O4 0.4970 0.9664 0.2650  1 Si 1.68
O5 0.5030 0.0336 0.7350  1 Si 1.68
O6 0.6764 0.5616 0.2091  1 Si 1.64
O7 0.7280 0.7517 0.4882  1 Si 1.68
O8 0.9201 0.7939 0.1824  1 Si 1.64

final energy = -5.839 eV per atom